Entry 1:
VASP calculation (PBE) on a relaxed structure of La3SnN.

The space group is P-1 (No. 2) and the conventional cell measures 6.2205, 6.4189 and 6.9329 Å, with angles of 100.65, 92.89 and 101.32 degrees. The asymmetric unit holds La at (0.1847, 0.1814, 0.4474), La at (0.2735, 0.6650, 0.2715), La at (0.3021, 0.6904, 0.7772), Sn at (0.1912, 0.1924, 0.9463), N at (0.0000, 0.5000, 0.5000) and N at (0.5000, 0.5000, 0.5000).

Its energy relative to the elements, uncorrected is -0.889 eV per atom. The calculation puts the total magnetization at 0.0 μB per cell.


Entry 2:
VASP calculation (PBE) on a relaxed structure of Zr2SeCl.

The space group is P2/m (No. 10) and the conventional cell measures 3.4626, 4.3347 and 5.7436 Å, with angles of 90.00, 94.04 and 90.00 degrees. The asymmetric unit holds Zr at (0.2238, 0.0000, 0.2639), Se at (0.5000, 0.5000, 0.5000) and Cl at (0.0000, 0.5000, 0.0000).

Its energy relative to the elements, uncorrected is -0.693 eV per atom. The calculation puts the total magnetization at 0.0 μB per cell. The calculation puts the energy above the lowest structure with this stoichiometry at 285 meV per atom.


Entry 3:
VASP calculation (PBE) on a relaxed structure of YTlCr2.

The space group is P4/mmm (No. 123) and the conventional cell measures 4.4587, 4.4587 and 4.3057 Å, with angles of 90.00, 90.00 and 90.00 degrees. The asymmetric unit holds Y at (0.0000, 0.0000, 0.0000), Tl at (0.5000, 0.5000, 0.0000) and Cr at (0.0000, 0.5000, 0.5000).

The formation energy is 0.446 eV/atom. The calculation puts the total magnetization at 7.4 μB per cell. The calculation puts the energy above the lowest structure with this stoichiometry at 213 meV per atom.


Entry 4:
VASP calculation (PBE) on a relaxed structure of NaScOsF2.

The space group is P4/mmm (No. 123) and the conventional cell measures 4.0133, 4.0133 and 6.7389 Å, with angles of 90.00, 90.00 and 90.00 degrees. The asymmetric unit holds Na at (0.0000, 0.0000, 0.0000), Sc at (0.0000, 0.0000, 0.5000), Os at (0.5000, 0.5000, 0.0000) and F at (0.0000, 0.5000, 0.5000).

Its energy relative to the elements, uncorrected is -0.747 eV per atom. The calculation puts the total magnetization at 2.2 μB per cell.


Entry 5:
VASP calculation (PBE) on a relaxed structure of YWN3.

The space group is P1 (No. 1) and the conventional cell measures 3.3725, 3.8410 and 5.8455 Å, with angles of 70.88, 87.49 and 90.00 degrees. The asymmetric unit holds Y at (0.0000, 0.0000, 0.0000), W at (0.5323, 0.6953, 0.6068), N at (0.0189, 0.7865, 0.4264), N at (0.4517, 0.1712, 0.6574) and N at (0.5925, 0.5189, 0.9638).

Its energy relative to the elements, uncorrected is -0.723 eV per atom. The calculation puts the total magnetization at 0.0 μB per cell.


Entry 6:
VASP calculation (PBE) on a relaxed structure of BaTa2Tl2O7.

The space group is C2/m (No. 12) and the conventional cell measures 5.7122, 5.7114 and 12.1935 Å, with angles of 90.00, 103.12 and 90.00 degrees. The asymmetric unit holds Ba at (0.0000, 0.0000, 0.0000), Ta at (0.0906, 0.5000, 0.1848), Tl at (0.1938, 0.0000, 0.3871), O at (0.0000, 0.5000, 0.0000), O at (0.1650, 0.5000, 0.3426) and O at (0.1674, 0.2501, 0.8292).

Its energy relative to the elements, uncorrected is -2.400 eV per atom. The calculation puts the total magnetization at 0.0 μB per cell.